The following is a PBEsol calculation of an optimized crystal structure of FeRe2Ir, from Alexandria via LeMat-Bulk.

POSCAR file:
```
FeRe2Ir
1.0
4.5224 0.0000 0.0000
0.0000 4.5224 0.0000
0.0000 0.0000 2.7178
Fe Re Ir
1 2 1
direct
0.0000 0.0000 0.0000 Fe
0.0000 0.5000 0.5000 Re
0.5000 0.0000 0.5000 Re
0.5000 0.5000 0.0000 Ir
```

Output
Energy of formation in kJ/mol of atoms: 32
Raw total energy in eV/cell: -44.1
Space-group type: No. 123
Theoretical density in kg/m³: 18536